Entry 1:
# AgPdRh

A relaxed AgPdRh crystal (PBE, Alexandria).

Output
Energy of formation (eV per atom): 0.13
Crystal system: monoclinic
Fermi-level density of states (states/eV per atom): 1.19
Calculated total energy (eV/atom): -4.9986

Unit cell a=2.7625 b=4.1891 c=8.3681 alpha=90.00 beta=99.42 gamma=90.00
Space group P2_1/m (No. 11)
Inequivalent atoms, fractional coordinates:
Ag1 0.2076 0.2500 0.4164
Pd1 0.3866 0.2500 0.7686
Rh1 0.0388 0.2500 0.0817

---

Entry 2:
# AgPdRh

A relaxed AgPdRh crystal (PBE, Alexandria).

Output
Energy of formation (eV per atom): 0.04
Crystal system: trigonal
Fermi-level density of states (states/eV per atom): 1.15
Calculated total energy (eV/atom): -5.0901

Unit cell a=2.7977 b=2.7977 c=41.5530 alpha=90.00 beta=90.00 gamma=120.00
Space group R-3m (No. 166, hexagonal axes)
Inequivalent atoms, fractional coordinates:
Ag1 0.0000 0.0000 0.1965
Pd1 0.0000 0.0000 0.0795
Rh1 0.0000 0.0000 0.3588

---

Entry 3:
# Ag2PdRh

A relaxed Ag2PdRh crystal (PBE, Alexandria).

Output
Energy of formation (eV per atom): 0.28
Crystal system: cubic
Fermi-level density of states (states/eV per atom): 2.09
Calculated total energy (eV/atom): -4.2828

Unit cell a=6.4054 b=6.4054 c=6.4054 alpha=90.00 beta=90.00 gamma=90.00
Space group Fm-3m (No. 225)
Inequivalent atoms, fractional coordinates:
Ag1 0.2500 0.2500 0.2500
Pd1 0.0000 0.0000 0.0000
Rh1 0.0000 0.0000 0.5000